Entry from Alexandria: an optimized crystal structure of As2Pb8O13 (PBE).

a = 11.073 Å, b = 10.762 Å, c = 15.028 Å
α = 90.00°, β = 97.72°, γ = 90.00°
Space group C2/m (No. 12)
Unique sites:
As (0.000, 0.249, 0.000) (multiplicity 4)
As (0.162, 0.500, 0.596) (multiplicity 4)
Pb (0.066, 0.000, 0.223) (multiplicity 4)
Pb (0.072, 0.500, 0.195) (multiplicity 4)
Pb (0.078, 0.258, 0.400) (multiplicity 8)
Pb (0.182, 0.000, 0.619) (multiplicity 4)
Pb (0.193, 0.229, 0.796) (multiplicity 8)
Pb (0.232, 0.000, 0.982) (multiplicity 4)
O (0.036, 0.140, 0.708) (multiplicity 8)
O (0.074, 0.155, 0.930) (multiplicity 8)
O (0.104, 0.368, 0.642) (multiplicity 8)
O (0.106, 0.339, 0.066) (multiplicity 8)
O (0.138, 0.500, 0.480) (multiplicity 4)
O (0.181, 0.360, 0.303) (multiplicity 8)
O (0.182, 0.000, 0.371) (multiplicity 4)
O (0.229, 0.000, 0.834) (multiplicity 4)

## Properties
density of states at the Fermi level	0.00	states/eV per atom
M_tot	0.000	μB per atom
formation energy from raw total energies	-2759	kJ/mol of formula units
raw total energy	-5.740	eV/atom

Entry from Alexandria: an optimized crystal structure of As2Pb3O8 (PBE).

a = 7.560 Å, b = 6.437 Å, c = 9.551 Å
α = 90.00°, β = 114.09°, γ = 90.00°
Space group P2_1/c (No. 14)
Unique sites:
As (0.200, 0.020, 0.400) (multiplicity 4)
Pb (0.000, 0.000, 0.000) (multiplicity 2)
Pb (0.374, 0.598, 0.284) (multiplicity 4)
O (0.038, 0.537, 0.228) (multiplicity 4)
O (0.247, 0.697, 0.020) (multiplicity 4)
O (0.276, 0.237, 0.514) (multiplicity 4)
O (0.322, 0.531, 0.782) (multiplicity 4)

## Properties
density of states at the Fermi level	0.00	states/eV per atom
M_tot	0.000	μB per atom
formation energy from raw total energies	-1638	kJ/mol of formula units
raw total energy	-5.928	eV/atom

Entry from Alexandria: an optimized crystal structure of As3PbO9 (PBE).

a = 10.348 Å, b = 10.679 Å, c = 7.576 Å
α = 90.00°, β = 90.00°, γ = 90.00°
Space group C222_1 (No. 20)
Unique sites:
As (0.008, 0.210, 0.038) (multiplicity 8)
As (0.216, 0.000, 0.500) (multiplicity 4)
Pb (0.208, 0.500, 0.500) (multiplicity 4)
O (0.000, 0.137, 0.250) (multiplicity 4)
O (0.032, 0.363, 0.463) (multiplicity 8)
O (0.107, 0.120, 0.579) (multiplicity 8)
O (0.158, 0.178, 0.962) (multiplicity 8)
O (0.205, 0.460, 0.815) (multiplicity 8)

## Properties
density of states at the Fermi level	0.24	states/eV per atom
M_tot	0.000	μB per atom
formation energy from raw total energies	-1301	kJ/mol of formula units
raw total energy	-5.828	eV/atom

Entry from Alexandria: an optimized crystal structure of As2Pb3O8 (PBE).

a = 5.7546 Å, b = 5.7546 Å, c = 20.6448 Å
α = 90.00°, β = 90.00°, γ = 120.00°
Space group R-3m (No. 166, hexagonal axes)
Unique sites:
As (0.0000, 0.0000, 0.0958) (multiplicity 6)
Pb (0.0000, 0.0000, 0.2924) (multiplicity 6)
Pb (0.0000, 0.0000, 0.5000) (multiplicity 3)
O (0.0000, 0.0000, 0.1788) (multiplicity 6)
O (0.0058, 0.5029, 0.7348) (multiplicity 18)

## Properties
density of states at the Fermi level	0.00	states/eV per atom
M_tot	0.000	μB per atom
formation energy from raw total energies	-1597	kJ/mol of formula units
raw total energy	-5.895	eV/atom

Entry from Alexandria: an optimized crystal structure of As3PbO (PBE).

a = 5.464 Å, b = 5.464 Å, c = 5.464 Å
α = 90.00°, β = 90.00°, γ = 90.00°
Space group Pm-3m (No. 221)
Unique sites:
As (0.000, 0.000, 0.500) (multiplicity 3)
Pb (0.000, 0.000, 0.000) (multiplicity 1)
O (0.500, 0.500, 0.500) (multiplicity 1)

## Properties
density of states at the Fermi level	1.39	states/eV per atom
M_tot	0.617	μB per atom
formation energy from raw total energies	774	kJ/mol of formula units
raw total energy	-2.919	eV/atom

Entry from Alexandria: an optimized crystal structure of AsPb2O4 (PBE).

a = 5.216 Å, b = 6.416 Å, c = 9.073 Å
α = 90.00°, β = 100.75°, γ = 90.00°
Space group P2_1/m (No. 11)
Unique sites:
As (0.095, 0.250, 0.245) (multiplicity 2)
Pb (0.241, 0.750, 0.498) (multiplicity 2)
Pb (0.480, 0.250, 0.984) (multiplicity 2)
O (0.002, 0.044, 0.350) (multiplicity 4)
O (0.056, 0.750, 0.939) (multiplicity 2)
O (0.429, 0.250, 0.248) (multiplicity 2)

## Properties
density of states at the Fermi level	0.17	states/eV per atom
M_tot	0.000	μB per atom
formation energy from raw total energies	-741	kJ/mol of formula units
raw total energy	-5.655	eV/atom

Entry from Alexandria: an optimized crystal structure of AsPbO2 (PBE).

a = 3.4309 Å, b = 3.4309 Å, c = 20.4381 Å
α = 90.00°, β = 90.00°, γ = 120.00°
Space group R-3m (No. 166, hexagonal axes)
Unique sites:
As (0.0000, 0.0000, 0.0000) (multiplicity 3)
Pb (0.0000, 0.0000, 0.5000) (multiplicity 3)
O (0.0000, 0.0000, 0.0937) (multiplicity 6)

## Properties
density of states at the Fermi level	0.35	states/eV per atom
M_tot	0.000	μB per atom
formation energy from raw total energies	-251	kJ/mol of formula units
raw total energy	-5.219	eV/atom

Entry from Alexandria: an optimized crystal structure of AsPbO2 (PBE).

a = 5.470 Å, b = 5.470 Å, c = 10.194 Å
α = 90.00°, β = 90.00°, γ = 90.00°
Space group I-42d (No. 122)
Unique sites:
As (0.000, 0.000, 0.000) (multiplicity 4)
Pb (0.000, 0.000, 0.500) (multiplicity 4)
O (0.166, 0.250, 0.125) (multiplicity 8)

## Properties
density of states at the Fermi level	0.40	states/eV per atom
M_tot	0.000	μB per atom
formation energy from raw total energies	-204	kJ/mol of formula units
raw total energy	-5.096	eV/atom

Entry from Alexandria: an optimized crystal structure of As2PbO (PBE).

a = 5.283 Å, b = 5.283 Å, c = 13.191 Å
α = 90.00°, β = 90.00°, γ = 90.00°
Space group I-42d (No. 122)
Unique sites:
As (0.062, 0.250, 0.125) (multiplicity 8)
Pb (0.000, 0.000, 0.500) (multiplicity 4)
O (0.000, 0.000, 0.000) (multiplicity 4)

## Properties
density of states at the Fermi level	0.14	states/eV per atom
M_tot	0.000	μB per atom
formation energy from raw total energies	-17	kJ/mol of formula units
raw total energy	-4.537	eV/atom

Entry from Alexandria: an optimized crystal structure of As2Pb2O5 (PBE).

a = 8.785 Å, b = 5.893 Å, c = 14.028 Å
α = 90.00°, β = 109.73°, γ = 90.00°
Space group P2_1/c (No. 14)
Unique sites:
As (0.115, 0.123, 0.367) (multiplicity 4)
As (0.384, 0.631, 0.062) (multiplicity 4)
Pb (0.144, 0.167, 0.119) (multiplicity 4)
Pb (0.346, 0.669, 0.292) (multiplicity 4)
O (0.074, 0.003, 0.701) (multiplicity 4)
O (0.180, 0.613, 0.962) (multiplicity 4)
O (0.233, 0.045, 0.288) (multiplicity 4)
O (0.341, 0.662, 0.642) (multiplicity 4)
O (0.377, 0.114, 0.638) (multiplicity 4)

## Properties
density of states at the Fermi level	0.00	states/eV per atom
M_tot	0.000	μB per atom
formation energy from raw total energies	-1090	kJ/mol of formula units
raw total energy	-5.867	eV/atom

Entry from Alexandria: an optimized crystal structure of As2PdPbO6 (PBE).

a = 10.697 Å, b = 9.832 Å, c = 6.460 Å
α = 90.00°, β = 115.54°, γ = 90.00°
Space group C2/c (No. 15)
Unique sites:
As (0.182, 0.017, 0.251) (multiplicity 8)
Pd (0.000, 0.146, 0.750) (multiplicity 4)
Pb (0.000, 0.364, 0.250) (multiplicity 4)
O (0.128, 0.166, 0.089) (multiplicity 8)
O (0.141, 0.499, 0.602) (multiplicity 8)
O (0.163, 0.097, 0.504) (multiplicity 8)

## Properties
density of states at the Fermi level	0.02	states/eV per atom
M_tot	0.000	μB per atom
formation energy from raw total energies	-903	kJ/mol of formula units
raw total energy	-5.731	eV/atom

Entry from Alexandria: an optimized crystal structure of As2PdPbO8 (PBE).

a = 4.9810 Å, b = 4.9810 Å, c = 24.1317 Å
α = 90.00°, β = 90.00°, γ = 120.00°
Space group R32 (No. 155, hexagonal axes)
Unique sites:
As (0.0000, 0.0000, 0.2433) (multiplicity 6)
Pd (0.0000, 0.0000, 0.5000) (multiplicity 3)
Pb (0.0000, 0.0000, 0.0000) (multiplicity 3)
O (0.0000, 0.0000, 0.3143) (multiplicity 6)
O (0.0151, 0.3659, 0.1097) (multiplicity 18)

## Properties
M_tot	0.000	μB per atom
formation energy from raw total energies	-891	kJ/mol of formula units
raw total energy	-5.592	eV/atom

Entry from Alexandria: an optimized crystal structure of AsPdPbO5 (PBE).

a = 6.472 Å, b = 9.377 Å, c = 8.476 Å
α = 90.00°, β = 108.53°, γ = 90.00°
Space group C2/c (No. 15)
Unique sites:
As (0.000, 0.181, 0.250) (multiplicity 4)
Pd (0.000, 0.194, 0.750) (multiplicity 4)
Pb (0.000, 0.500, 0.000) (multiplicity 4)
O (0.000, 0.400, 0.750) (multiplicity 4)
O (0.130, 0.076, 0.415) (multiplicity 8)
O (0.169, 0.307, 0.193) (multiplicity 8)

## Properties
density of states at the Fermi level	0.01	states/eV per atom
M_tot	0.000	μB per atom
formation energy from raw total energies	-630	kJ/mol of formula units
raw total energy	-5.609	eV/atom

Entry from Alexandria: an optimized crystal structure of PmAs2PbO8 (PBE).

a = 5.7488 Å, b = 5.7488 Å, c = 7.4588 Å
α = 90.00°, β = 90.00°, γ = 120.00°
Space group P-3m1 (No. 164)
Unique sites:
Pm (0.0000, 0.0000, 0.0000) (multiplicity 1)
As (0.3333, 0.6667, 0.2868) (multiplicity 2)
Pb (0.0000, 0.0000, 0.5000) (multiplicity 1)
O (0.1701, 0.3402, 0.2131) (multiplicity 6)
O (0.3333, 0.6667, 0.5172) (multiplicity 2)

## Properties
density of states at the Fermi level	0.96	states/eV per atom
M_tot	0.087	μB per atom
formation energy from raw total energies	-1838	kJ/mol of formula units
raw total energy	-6.373	eV/atom

Entry from Alexandria: an optimized crystal structure of AsPtPbO6 (PBE).

a = 5.1650 Å, b = 5.1650 Å, c = 5.1914 Å
α = 90.00°, β = 90.00°, γ = 120.00°
Space group P312 (No. 149)
Unique sites:
As (0.0000, 0.0000, 0.0000) (multiplicity 1)
Pt (0.3333, 0.6667, 0.0000) (multiplicity 1)
Pb (0.6667, 0.3333, 0.5000) (multiplicity 1)
O (0.0339, 0.3158, 0.2075) (multiplicity 6)

## Properties
density of states at the Fermi level	0.52	states/eV per atom
M_tot	0.000	μB per atom
formation energy from raw total energies	-809	kJ/mol of formula units
raw total energy	-5.838	eV/atom

Entry from Alexandria: an optimized crystal structure of As2PtPbO8 (PBE).

a = 4.9418 Å, b = 4.9418 Å, c = 23.2609 Å
α = 90.00°, β = 90.00°, γ = 120.00°
Space group R-3 (No. 148, hexagonal axes)
Unique sites:
As (0.0000, 0.0000, 0.2397) (multiplicity 6)
Pt (0.0000, 0.0000, 0.5000) (multiplicity 3)
Pb (0.0000, 0.0000, 0.0000) (multiplicity 3)
O (0.0000, 0.0000, 0.3130) (multiplicity 6)
O (0.0032, 0.6759, 0.5527) (multiplicity 18)

## Properties
density of states at the Fermi level	0.00	states/eV per atom
M_tot	0.000	μB per atom
formation energy from raw total energies	-1127	kJ/mol of formula units
raw total energy	-5.866	eV/atom

Entry from Alexandria: an optimized crystal structure of As2PtPbO6 (PBE).

a = 10.702 Å, b = 9.888 Å, c = 6.483 Å
α = 90.00°, β = 116.55°, γ = 90.00°
Space group C2/c (No. 15)
Unique sites:
As (0.181, 0.012, 0.253) (multiplicity 8)
Pt (0.000, 0.145, 0.750) (multiplicity 4)
Pb (0.000, 0.365, 0.250) (multiplicity 4)
O (0.127, 0.164, 0.091) (multiplicity 8)
O (0.141, 0.494, 0.094) (multiplicity 8)
O (0.166, 0.097, 0.504) (multiplicity 8)

## Properties
density of states at the Fermi level	0.01	states/eV per atom
M_tot	0.000	μB per atom
formation energy from raw total energies	-892	kJ/mol of formula units
raw total energy	-5.805	eV/atom